The following is a PBE-GGA calculation of LuPaNi2 after structural relaxation, from the Alexandria database.

- volume (Å³/cell) = 297.9
- electronic total energy (eV/cell) = -106.92

a b c (Å): 6.679 6.679 6.679
angles (deg): 90.00 90.00 90.00
Space group Fm-3m (No. 225)
Asymmetric unit:
Lu 0.000 0.000 0.000 (multiplicity 4)
Pa 0.000 0.000 0.500 (multiplicity 4)
Ni 0.250 0.250 0.250 (multiplicity 8)